(1)
DFT (PBE) results for an optimized crystal structure of MgCdPb. Values from VASP.

Structure (Quantum ESPRESSO input):
```
&SYSTEM
  ibrav = 0, nat = 3, ntyp = 3
/
ATOMIC_SPECIES
Mg 24.30 Mg.upf
Cd 112.41 Cd.upf
Pb 207.20 Pb.upf
ATOMIC_POSITIONS angstrom
Mg 0.000 0.000 0.000
Cd 0.000 2.919 2.868
Pb 2.528 1.460 1.549
CELL_PARAMETERS angstrom
5.057 0.000 0.000
-2.528 4.379 0.000
0.000 0.000 3.548
```

Properties
VASP energy   -2.04 eV per atom
ΔE_f   0.037 eV per atom



(2)
DFT (PBE) results for an optimized crystal structure of LiPu3Sn3Ru2. Values from VASP.

Structure (Quantum ESPRESSO input):
```
&SYSTEM
  ibrav = 0, nat = 9, ntyp = 4
/
ATOMIC_SPECIES
Li 6.94 Li.upf
Pu 244.00 Pu.upf
Sn 118.71 Sn.upf
Ru 101.07 Ru.upf
ATOMIC_POSITIONS angstrom
Li 0.000 0.000 0.000
Pu -2.217 3.840 0.000
Pu 1.568 2.715 0.000
Pu 4.434 0.000 0.000
Sn -0.971 1.683 1.921
Sn 1.943 0.000 1.921
Sn 2.814 4.873 1.921
Ru 0.000 4.370 1.921
Ru 3.785 2.185 1.921
CELL_PARAMETERS angstrom
7.570 0.000 0.000
-3.785 6.556 0.000
0.000 0.000 3.842
```

Properties
VASP energy   -8.71 eV per atom
ΔE_f   -0.325 eV per atom



(3)
DFT (PBE) results for an optimized crystal structure of NdPuTh. Values from VASP.

Structure (Quantum ESPRESSO input):
```
&SYSTEM
  ibrav = 0, nat = 3, ntyp = 3
/
ATOMIC_SPECIES
Nd 144.24 Nd.upf
Pu 244.00 Pu.upf
Th 232.04 Th.upf
ATOMIC_POSITIONS angstrom
Nd 0.000 0.000 0.000
Pu 2.869 1.656 1.649
Th 0.000 3.312 0.000
CELL_PARAMETERS angstrom
5.737 0.000 0.000
-2.869 4.969 0.000
0.000 0.000 3.299
```

Properties
VASP energy   -8.55 eV per atom
ΔE_f   0.289 eV per atom
Polymorph energy (0 for the lowest one)   0.160 eV/atom



(4)
DFT (PBE) results for an optimized crystal structure of Ba2ZnTc. Values from VASP.

Structure (Quantum ESPRESSO input):
```
&SYSTEM
  ibrav = 0, nat = 8, ntyp = 3
/
ATOMIC_SPECIES
Ba 137.33 Ba.upf
Zn 65.41 Zn.upf
Tc 98.00 Tc.upf
ATOMIC_POSITIONS angstrom
Ba 1.728 0.000 2.068
Ba 1.008 1.795 7.108
Ba 5.831 1.795 2.068
Ba 5.111 0.000 7.108
Zn -0.683 0.000 4.588
Zn 3.420 1.795 4.588
Tc 0.000 1.795 0.000
Tc 4.103 0.000 0.000
CELL_PARAMETERS angstrom
8.206 0.000 0.000
0.000 3.590 0.000
-1.367 0.000 9.176
```

Properties
VASP energy   -3.10 eV per atom
ΔE_f   0.773 eV per atom



(5)
DFT (PBE) results for an optimized crystal structure of AcErAgPb. Values from VASP.

Structure (Quantum ESPRESSO input):
```
&SYSTEM
  ibrav = 0, nat = 16, ntyp = 4
/
ATOMIC_SPECIES
Ac 227.00 Ac.upf
Er 167.26 Er.upf
Ag 107.87 Ag.upf
Pb 207.20 Pb.upf
ATOMIC_POSITIONS angstrom
Ac 0.000 0.000 0.000
Ac 0.000 3.906 3.906
Ac 3.906 0.000 3.906
Ac 3.906 3.906 0.000
Er 0.000 0.000 3.906
Er 0.000 3.906 0.000
Er 3.906 0.000 0.000
Er 3.906 3.906 3.906
Ag 1.953 1.953 5.859
Ag 1.953 5.859 1.953
Ag 5.859 1.953 1.953
Ag 5.859 5.859 5.859
Pb 1.953 1.953 1.953
Pb 1.953 5.859 5.859
Pb 5.859 1.953 5.859
Pb 5.859 5.859 1.953
CELL_PARAMETERS angstrom
7.813 0.000 0.000
0.000 7.813 0.000
0.000 0.000 7.813
```

Properties
VASP energy   -4.14 eV per atom
ΔE_f   -0.328 eV per atom



(6)
DFT (PBE) results for an optimized crystal structure of ScTcOs2. Values from VASP.

Structure (Quantum ESPRESSO input):
```
&SYSTEM
  ibrav = 0, nat = 4, ntyp = 3
/
ATOMIC_SPECIES
Sc 44.96 Sc.upf
Tc 98.00 Tc.upf
Os 190.23 Os.upf
ATOMIC_POSITIONS angstrom
Sc 0.000 0.000 0.000
Tc 2.030 2.030 0.000
Os 0.000 2.030 1.887
Os 2.030 0.000 1.887
CELL_PARAMETERS angstrom
4.059 0.000 0.000
0.000 4.059 0.000
0.000 0.000 3.773
```

Properties
VASP energy   -9.68 eV per atom
ΔE_f   0.114 eV per atom
Polymorph energy (0 for the lowest one)   0.181 eV/atom



(7)
DFT (PBE) results for an optimized crystal structure of NpHg2BiO6. Values from VASP.

Structure (Quantum ESPRESSO input):
```
&SYSTEM
  ibrav = 0, nat = 10, ntyp = 4
/
ATOMIC_SPECIES
Np 237.00 Np.upf
Hg 200.59 Hg.upf
Bi 208.98 Bi.upf
O 16.00 O.upf
ATOMIC_POSITIONS angstrom
Np 0.000 0.000 0.000
Hg 0.000 0.000 3.757
Hg 0.000 0.000 11.639
Bi 0.000 0.000 7.698
O -1.946 0.289 6.385
O -1.223 -1.541 9.012
O 0.723 -1.830 6.385
O -0.723 1.830 9.012
O 1.223 1.541 6.385
O 1.946 -0.289 9.012
CELL_PARAMETERS angstrom
2.969 1.714 5.132
-2.969 1.714 5.132
0.000 -3.428 5.132
```

Properties
Energy relative to the elements, uncorrected   -1.406 eV/atom
VASP energy   -6.12 eV per atom



(8)
DFT (PBE) results for an optimized crystal structure of Pm3Pr2Mg3. Values from VASP.

Structure (Quantum ESPRESSO input):
```
&SYSTEM
  ibrav = 0, nat = 16, ntyp = 3
/
ATOMIC_SPECIES
Pm 145.00 Pm.upf
Pr 140.91 Pr.upf
Mg 24.30 Mg.upf
ATOMIC_POSITIONS angstrom
Pm 0.000 0.000 0.000
Pm 0.000 2.781 2.779
Pm 0.000 2.781 20.085
Pm 1.950 0.000 8.653
Pm 1.950 0.000 14.211
Pm 1.950 2.781 11.432
Pr 0.000 0.000 5.364
Pr 0.000 0.000 17.500
Pr 1.950 2.781 6.068
Pr 1.950 2.781 16.796
Mg 0.000 0.000 11.432
Mg 0.000 2.781 8.784
Mg 0.000 2.781 14.080
Mg 1.950 0.000 2.648
Mg 1.950 0.000 20.216
Mg 1.950 2.781 0.000
CELL_PARAMETERS angstrom
3.901 0.000 0.000
0.000 5.561 0.000
0.000 0.000 22.864
```

Properties
VASP energy   -3.64 eV per atom
ΔE_f   -0.063 eV per atom



(9)
DFT (PBE) results for an optimized crystal structure of Mg5SbPt6. Values from VASP.

Structure (Quantum ESPRESSO input):
```
&SYSTEM
  ibrav = 0, nat = 12, ntyp = 3
/
ATOMIC_SPECIES
Mg 24.30 Mg.upf
Sb 121.76 Sb.upf
Pt 195.08 Pt.upf
ATOMIC_POSITIONS angstrom
Mg 0.000 0.000 0.000
Mg 1.307 0.000 2.658
Mg 3.917 0.000 1.314
Mg 8.015 0.000 2.681
Mg 10.626 0.000 1.337
Sb 6.632 0.000 0.000
Pt 3.297 1.855 3.324
Pt 5.966 1.889 1.998
Pt 8.635 1.855 0.671
Pt 3.297 -1.855 3.324
Pt 5.966 -1.889 1.998
Pt 8.635 -1.855 0.671
CELL_PARAMETERS angstrom
6.632 -3.708 0.000
6.632 3.708 0.000
-1.332 0.000 3.995
```

Properties
Energy relative to the elements, uncorrected   -0.767 eV/atom
VASP energy   -4.80 eV per atom



(10)
DFT (PBE) results for an optimized crystal structure of YTlCr. Values from VASP.

Structure (Quantum ESPRESSO input):
```
&SYSTEM
  ibrav = 0, nat = 12, ntyp = 3
/
ATOMIC_SPECIES
Y 88.91 Y.upf
Tl 204.38 Tl.upf
Cr 52.00 Cr.upf
ATOMIC_POSITIONS angstrom
Y 0.000 0.000 0.000
Y 0.000 3.397 3.397
Y 3.397 0.000 3.397
Y 3.397 3.397 0.000
Tl 0.000 0.000 3.397
Tl 0.000 3.397 0.000
Tl 3.397 0.000 0.000
Tl 3.397 3.397 3.397
Cr 1.699 1.699 5.096
Cr 1.699 5.096 1.699
Cr 5.096 1.699 1.699
Cr 5.096 5.096 5.096
CELL_PARAMETERS angstrom
6.794 0.000 0.000
0.000 6.794 0.000
0.000 0.000 6.794
```

Properties
VASP energy   -5.80 eV per atom
ΔE_f   0.352 eV per atom
Polymorph energy (0 for the lowest one)   0.238 eV/atom



(11)
DFT (PBE) results for an optimized crystal structure of ScSI2N. Values from VASP.

Structure (Quantum ESPRESSO input):
```
&SYSTEM
  ibrav = 0, nat = 5, ntyp = 4
/
ATOMIC_SPECIES
Sc 44.96 Sc.upf
S 32.06 S.upf
I 126.90 I.upf
N 14.01 N.upf
ATOMIC_POSITIONS angstrom
Sc 0.000 0.000 0.000
S 2.978 2.978 1.732
I 0.000 2.978 1.732
I 2.978 0.000 1.732
N 2.978 2.978 0.000
CELL_PARAMETERS angstrom
5.956 0.000 0.000
0.000 5.956 0.000
0.000 0.000 3.464
```

Properties
Energy relative to the elements, uncorrected   0.551 eV/atom
VASP energy   -3.83 eV per atom
Polymorph energy (0 for the lowest one)   0.189 eV/atom



(12)
DFT (PBE) results for an optimized crystal structure of SrHfP3. Values from VASP.

Structure (Quantum ESPRESSO input):
```
&SYSTEM
  ibrav = 0, nat = 5, ntyp = 3
/
ATOMIC_SPECIES
Sr 87.62 Sr.upf
Hf 178.49 Hf.upf
P 30.97 P.upf
ATOMIC_POSITIONS angstrom
Sr 0.000 0.000 0.000
Hf 2.507 2.507 2.507
P 0.000 2.507 2.507
P 2.507 0.000 2.507
P 2.507 2.507 0.000
CELL_PARAMETERS angstrom
5.013 0.000 0.000
0.000 5.013 0.000
0.000 0.000 5.013
```

Properties
VASP energy   -6.09 eV per atom
ΔE_f   -0.516 eV per atom
Polymorph energy (0 for the lowest one)   0.000 eV/atom



(13)
DFT (PBE) results for an optimized crystal structure of InAs2P. Values from VASP.

Structure (Quantum ESPRESSO input):
```
&SYSTEM
  ibrav = 0, nat = 4, ntyp = 3
/
ATOMIC_SPECIES
In 114.82 In.upf
As 74.92 As.upf
P 30.97 P.upf
ATOMIC_POSITIONS angstrom
In 0.000 0.000 0.000
As 1.892 0.000 2.022
As 1.892 2.731 2.277
P 0.000 2.731 3.808
CELL_PARAMETERS angstrom
3.784 0.000 0.000
0.000 5.462 0.000
0.000 0.000 4.262
```

Properties
VASP energy   -4.33 eV per atom
ΔE_f   0.034 eV per atom
Polymorph energy (0 for the lowest one)   0.019 eV/atom